Record 1
DyTmAu2 | Alexandria via LeMat-Bulk | PBE | optimized geometry; energy above the most stable polymorph in this dataset = 17 meV per atom; DFT total energy = -19.1 eV for the cell shown; density of states at the Fermi level = 0.574 states/eV per atom
1.0
3.5550 0.0000 0.0000
0.0000 3.5550 0.0000
0.0000 0.0000 7.2303
Tm Au Dy
1 2 1
Direct
0.5000 0.5000 0.0000
0.0000 0.0000 0.7585
0.0000 0.0000 0.2415
0.5000 0.5000 0.5000


Record 2
DyTmAu5 | Alexandria via LeMat-Bulk | PBE | optimized geometry; DFT total energy = -60.3 eV for the cell shown; density of states at the Fermi level = 0.504 states/eV per atom
1.0
5.1837 -0.2837 -0.9482
-0.9017 5.1126 -0.9482
-0.2107 -0.2376 11.2410
Dy Tm Au
2 2 10
Direct
0.0000 0.0000 0.0000
0.0000 0.0000 0.5000
0.5617 0.4383 0.2500
0.4383 0.5617 0.7500
0.0379 0.5520 0.1481
0.7608 0.4759 0.5414
0.5520 0.0379 0.6481
0.9265 0.0735 0.2500
0.5241 0.2392 0.9586
0.4759 0.7608 0.0414
0.0735 0.9265 0.7500
0.4480 0.9621 0.3519
0.2392 0.5241 0.4586
0.9621 0.4480 0.8519


Record 3
DyTmAu | Alexandria via LeMat-Bulk | PBE | optimized geometry; energy above the most stable polymorph in this dataset = 0 meV per atom; DFT total energy = -57.3 eV for the cell shown; density of states at the Fermi level = 0.983 states/eV per atom
1.0
-2.8365 2.7811 -2.9030
2.4968 -4.7846 -7.0232
-5.4444 -4.4259 1.0796
Dy Tm Au
4 4 4
Direct
0.2500 0.8232 0.4859
0.7500 0.3232 0.0141
0.2500 0.6768 0.9859
0.7500 0.1768 0.5141
0.7500 0.9204 0.1483
0.7500 0.5796 0.6483
0.2500 0.0796 0.8517
0.2500 0.4204 0.3517
0.7500 0.5993 0.2454
0.7500 0.9007 0.7454
0.2500 0.0993 0.2546
0.2500 0.4007 0.7546


Record 4
Dy2TmAu3 | Alexandria via LeMat-Bulk | PBE | optimized geometry; energy above the most stable polymorph in this dataset = 0 meV per atom; DFT total energy = -28.8 eV for the cell shown; density of states at the Fermi level = 0.327 states/eV per atom
1.0
3.5630 0.0000 0.0000
0.0000 3.5630 0.0000
0.0000 0.0000 10.8634
Dy Tm Au
2 1 3
Direct
0.5000 0.5000 0.8318
0.5000 0.5000 0.1682
0.5000 0.5000 0.5000
0.0000 0.0000 0.0000
0.0000 0.0000 0.6618
0.0000 0.0000 0.3382


Record 5
DyTmAu3 | Alexandria via LeMat-Bulk | PBE | optimized geometry; DFT total energy = -43.0 eV for the cell shown; density of states at the Fermi level = 0.861 states/eV per atom
1.0
-4.0912 3.2362 -0.5597
-3.3193 -4.1571 0.2258
1.1423 2.9802 8.8824
Dy Tm Au
2 2 6
Direct
0.7500 0.5632 0.1264
0.2500 0.4368 0.8736
0.7500 0.8502 0.7003
0.2500 0.1498 0.2997
0.7500 0.9574 0.4074
0.7500 0.4500 0.4074
0.2500 0.5500 0.5926
0.2500 0.0426 0.5926
0.0000 0.0000 0.0000
0.5000 0.0000 0.0000


Record 6
DyTmAu | Alexandria via LeMat-Bulk | PBE | optimized geometry; energy above the most stable polymorph in this dataset = 108 meV per atom; DFT total energy = -14.0 eV for the cell shown; density of states at the Fermi level = 1.067 states/eV per atom
1.0
3.5678 0.0000 0.0000
0.0000 3.5678 0.0000
-1.7839 -1.7839 6.1102
Tm Au Dy
1 1 1
Direct
0.3068 0.3068 0.6136
0.9459 0.9459 0.8919
0.5973 0.5973 0.1945


Record 7
Dy2TmAu4 | Alexandria via LeMat-Bulk | PBE | optimized geometry; energy above the most stable polymorph in this dataset = 433 meV per atom; DFT total energy = -28.8 eV for the cell shown; density of states at the Fermi level = 0.712 states/eV per atom
1.0
5.2535 0.0000 0.0000
0.0000 5.2535 0.0000
-2.6267 -2.6267 7.3523
Dy Tm Au
2 1 4
Direct
0.6170 0.6170 0.2339
0.3830 0.3830 0.7661
0.0000 0.0000 0.0000
0.8104 0.8104 0.6207
0.1896 0.1896 0.3793
0.0000 0.5000 0.0000
0.5000 0.0000 0.0000


Record 8
DyTmAu2 | Alexandria via LeMat-Bulk | PBE | optimized geometry; energy above the most stable polymorph in this dataset = 0 meV per atom; DFT total energy = -19.2 eV for the cell shown; density of states at the Fermi level = 0.608 states/eV per atom
1.0
3.4602 0.0000 -1.2527
0.0000 4.6806 0.0000
0.1516 0.0000 5.7622
Dy Tm Au
1 1 2
Direct
0.7211 0.0000 0.9832
0.4449 0.5000 0.4270
0.1713 0.5000 0.8818
0.9937 0.0000 0.5260


Record 9
Dy4Tm3Au4 | Alexandria via LeMat-Bulk | PBE | optimized geometry; DFT total energy = -51.3 eV for the cell shown; density of states at the Fermi level = 0.947 states/eV per atom
1.0
3.7181 0.0000 0.0000
0.0000 9.1134 0.0000
-1.8590 -4.5567 8.4699
Dy Tm Au
4 3 4
Direct
0.3381 0.1519 0.6762
0.6619 0.4757 0.3238
0.6619 0.8481 0.3238
0.3381 0.5243 0.6762
0.1015 0.1015 0.2030
0.8985 0.8985 0.7970
0.0000 0.5000 0.0000
0.2564 0.7564 0.5129
0.7436 0.2436 0.4871
0.5000 0.8155 0.0000
0.5000 0.1845 0.0000


Record 10
DyTmZnAu | Alexandria via LeMat-Bulk | PBE | optimized geometry; DFT total energy = -16.1 eV for the cell shown; density of states at the Fermi level = 1.027 states/eV per atom
1.0
5.0396 0.0000 0.0000
2.5198 4.3645 0.0000
2.5198 1.4548 4.1149
Zn Tm Au Dy
1 1 1 1
Direct
0.0000 0.0000 0.0000
0.2500 0.2500 0.2500
0.5000 0.5000 0.5000
0.7500 0.7500 0.7500


Record 11
Dy2Y3Au2 | Alexandria via LeMat-Bulk | PBE | optimized geometry; DFT total energy = -38.7 eV for the cell shown; density of states at the Fermi level = 1.432 states/eV per atom
1.0
-1.7614 -3.1765 0.7011
5.5535 -1.6418 -3.2455
1.1069 1.3803 9.0342
Dy Y Au
2 3 2
Direct
0.8463 0.6925 0.1866
0.1537 0.3075 0.8134
0.5000 0.0000 0.0000
0.6126 0.2252 0.4423
0.3874 0.7748 0.5577
0.8262 0.6524 0.7708
0.1738 0.3476 0.2292


Record 12
Dy2YAu2 | Alexandria via LeMat-Bulk | PBE | optimized geometry; DFT total energy = -51.5 eV for the cell shown; density of states at the Fermi level = 1.301 states/eV per atom
1.0
-3.2474 1.9172 0.1228
-3.2039 -5.0681 -5.5986
-2.6798 -4.9229 5.9899
Dy Y Au
4 2 4
Direct
0.5000 0.1626 0.6626
0.5000 0.6626 0.8374
0.5000 0.8374 0.3374
0.5000 0.3374 0.1626
0.0000 0.0000 0.0000
0.0000 0.5000 0.5000
0.0000 0.3673 0.8673
0.0000 0.8673 0.6327
0.0000 0.6327 0.1327
0.0000 0.1327 0.3673


What did the fifth record say?
DyTmAu3 | Alexandria via LeMat-Bulk | PBE | optimized geometry; DFT total energy = -43.0 eV for the cell shown; density of states at the Fermi level = 0.861 states/eV per atom
1.0
-4.0912 3.2362 -0.5597
-3.3193 -4.1571 0.2258
1.1423 2.9802 8.8824
Dy Tm Au
2 2 6
Direct
0.7500 0.5632 0.1264
0.2500 0.4368 0.8736
0.7500 0.8502 0.7003
0.2500 0.1498 0.2997
0.7500 0.9574 0.4074
0.7500 0.4500 0.4074
0.2500 0.5500 0.5926
0.2500 0.0426 0.5926
0.0000 0.0000 0.0000
0.5000 0.0000 0.0000


Which of these has the highest density of states at the Fermi level? Dy2Y3Au2